A relaxed structure of Rb3InHg, computed with PBE.

The structure belongs to space group C2/m (No. 12); the cell edges are 13.594, 11.265 and 8.964 Å and the angles 90.00°, 129.67° and 90.00°. The inequivalent atoms are Rb at (0.053, 0.000, 0.282), Rb at (0.206, 0.309, 0.180), In at (0.066, 0.500, 0.396) and Hg at (0.212, 0.500, 0.828).

For the excess energy over the best structure of this formula in the dataset, the calculation gives 0 meV per atom.

***

A relaxed structure of RbInHg4, computed with PBE.

The structure belongs to space group Pmma (No. 51); the cell edges are 8.369, 5.151 and 8.907 Å and the angles 90.00°, 90.00° and 90.00°. The inequivalent atoms are Rb at (0.250, 0.000, 0.143), In at (0.250, 0.000, 0.728), Hg at (0.000, 0.000, 0.500), Hg at (0.063, 0.500, 0.833) and Hg at (0.250, 0.500, 0.440).

For the excess energy over the best structure of this formula in the dataset, the calculation gives 0 meV per atom.

***

A relaxed structure of Rb3InHg2, computed with PBE.

The structure belongs to space group P2_1/c (No. 14); the cell edges are 7.312, 13.768 and 12.072 Å and the angles 90.00°, 109.90° and 90.00°. The inequivalent atoms are Rb at (0.167, 0.225, 0.322), Rb at (0.229, 0.607, 0.987), Rb at (0.277, 0.560, 0.598), In at (0.421, 0.688, 0.335), Hg at (0.184, 0.507, 0.272) and Hg at (0.343, 0.135, 0.627).

***

no.,spin magnetization (μB per formula unit),E_form (eV/f.u.),density of states at the Fermi level (states/eV/cell)
1,0.000,-0.3,14.32
2,0.000,-0.7,5.50
3,0.000,-0.8,18.20